Record 1
TbPuSnO6 | PBE-GGA | optimized geometry Values from VASP.

Results
Raw total energy, eV per cell: -151.10
Crystal system: trigonal

Structure (Quantum ESPRESSO input):
```
&SYSTEM
  ibrav = 0, nat = 18, ntyp = 4
/
ATOMIC_SPECIES
Sn 118.71 Sn.upf
O 16.00 O.upf
Pu 244.00 Pu.upf
Tb 158.93 Tb.upf
ATOMIC_POSITIONS angstrom
Sn -2.1961 3.5820 6.8598
O 2.8184 -1.4757 3.8699
O -2.4113 3.2199 8.9255
Pu -1.8912 -0.0567 3.5577
Tb 0.0000 0.0000 0.0000
O -0.2467 -1.4473 3.5555
O -3.7261 5.0314 6.8078
O 1.1718 -0.3875 5.8917
Sn 1.2884 -0.0263 3.8179
O 2.7788 1.4519 4.0131
O -3.6865 2.1038 6.6646
O -0.2956 1.3648 3.8251
O -2.0795 3.9432 4.7861
Pu 0.9835 3.6124 7.1200
O -0.6610 5.0030 7.1222
O 1.5036 0.3358 1.7523
Tb -0.3049 3.6387 3.3021
O -0.6121 2.1908 6.8526
CELL_PARAMETERS angstrom
-4.9182 -1.9063 1.6465
4.6204 -1.8154 2.4271
-0.6098 7.2774 6.6041
```

=====

Record 2
PuTiSnO6 | PBE-GGA | optimized geometry Values from VASP.

Results
Raw total energy, eV per cell: -155.31
Crystal system: trigonal

Structure (Quantum ESPRESSO input):
```
&SYSTEM
  ibrav = 0, nat = 18, ntyp = 4
/
ATOMIC_SPECIES
Sn 118.71 Sn.upf
O 16.00 O.upf
Ti 47.87 Ti.upf
Pu 244.00 Pu.upf
ATOMIC_POSITIONS angstrom
Sn 0.0000 0.0000 0.0000
O -3.2027 -4.2701 4.0834
O -1.9066 -3.3387 7.7455
Ti -2.6745 -2.6973 0.5289
Pu -5.1630 -3.2829 4.2538
O -1.9259 -0.9264 -0.0175
Ti -2.5814 -3.7379 5.9070
Sn -2.4886 -0.5856 3.7249
O -4.3128 -2.7911 6.2240
O -2.0532 -2.1651 2.3526
O -1.9528 -1.9459 5.2838
Pu -0.0928 -3.1524 2.1822
O -3.3299 -5.5088 6.4534
O -3.3493 -3.0965 -1.3096
O -0.7835 -4.5731 5.6520
O -0.9431 -3.6441 0.2119
O -3.3030 -4.4893 1.1522
O -4.4723 -1.8621 0.7840
CELL_PARAMETERS angstrom
-4.0118 -1.9494 -2.9868
3.7331 -3.3147 1.9730
-4.9771 -1.1712 7.4497
```

=====

Record 3
PuTlSnO6 | PBE-GGA | optimized geometry Values from VASP.

Results
Raw total energy, eV per cell: -131.17
Crystal system: trigonal

Structure (Quantum ESPRESSO input):
```
&SYSTEM
  ibrav = 0, nat = 18, ntyp = 4
/
ATOMIC_SPECIES
Tl 204.38 Tl.upf
O 16.00 O.upf
Sn 118.71 Sn.upf
Pu 244.00 Pu.upf
ATOMIC_POSITIONS angstrom
Tl 0.0000 0.0000 0.0000
O 1.1390 10.1738 2.9329
O 0.5492 4.0095 2.4011
Tl 0.4905 6.1710 0.5455
O 3.1281 9.8272 5.0656
Sn 2.1740 2.7108 2.7766
O 0.5536 1.6307 3.5981
Pu 2.6646 8.8818 3.3221
O -2.3014 1.7986 4.2661
Pu -0.9721 2.9227 3.2090
O -2.3765 4.2309 2.5275
O 2.5142 7.9153 1.5356
O 1.1433 7.7949 4.1300
Sn -0.4815 9.0937 3.7544
O 4.0690 7.5735 4.0035
O 3.9939 10.0059 2.2649
O -0.8217 3.8892 4.9955
O -1.4356 1.9773 1.4655
CELL_PARAMETERS angstrom
-4.3634 0.0491 3.3686
5.0749 -0.5865 2.0715
0.9811 12.3419 1.0910
```

=====

Record 4
YPuSnO6 | PBE-GGA | optimized geometry Values from VASP.

Results
Raw total energy, eV per cell: -153.04
Crystal system: trigonal

Structure (Quantum ESPRESSO input):
```
&SYSTEM
  ibrav = 0, nat = 18, ntyp = 4
/
ATOMIC_SPECIES
Pu 244.00 Pu.upf
O 16.00 O.upf
Y 88.91 Y.upf
Sn 118.71 Sn.upf
ATOMIC_POSITIONS angstrom
Pu 2.2748 5.6270 4.4349
O 2.0877 3.6942 5.3504
Y 2.8519 1.8322 2.0555
O 0.2388 -1.5927 4.7622
Y 0.0447 4.1308 6.2802
O 2.5347 -0.1880 3.0788
O -0.4792 -0.0291 2.0944
Sn -0.5772 3.7948 2.3794
O 2.6578 7.5557 3.5734
O 1.0344 5.1685 2.7437
O -1.2340 0.7626 4.8919
Pu 0.6219 0.3360 3.9007
O 4.1307 5.2005 3.4437
Sn 0.0000 0.0000 0.0000
O 1.8622 0.7946 5.5919
O 0.3620 6.1510 5.2569
O 0.8089 2.2688 2.9852
O 3.3759 5.9922 6.2413
CELL_PARAMETERS angstrom
-1.3195 -3.0576 4.5563
5.3705 1.4310 -0.9795
-1.1543 7.5896 4.7588
```

=====

Record 5
SrPuO4 | PBE-GGA | optimized geometry Values from VASP.

Results
Raw total energy, eV per cell: -105.27
Crystal system: monoclinic

Structure (Quantum ESPRESSO input):
```
&SYSTEM
  ibrav = 0, nat = 12, ntyp = 3
/
ATOMIC_SPECIES
O 16.00 O.upf
Pu 244.00 Pu.upf
Sr 87.62 Sr.upf
ATOMIC_POSITIONS angstrom
O -3.1477 -0.0205 -2.7434
Pu 0.0000 0.0000 0.0000
O -0.2496 1.8362 -4.3356
O -3.3098 1.6597 -4.9384
O -0.0874 0.1561 -2.1407
O -6.3995 1.5820 -4.2056
Pu -1.6986 0.9079 -3.5395
O -1.2268 -0.8957 -4.6068
O -2.1704 2.7114 -2.4722
O 3.0023 0.2337 -2.8735
Sr 1.7340 2.3042 -2.7786
Sr -3.4326 -1.3963 -0.7609
CELL_PARAMETERS angstrom
-1.3763 4.8229 -2.6418
4.8442 -0.2146 -2.9155
-6.8652 -2.7926 -1.5217
```

=====

Record 6
Sr2PuO4 | PBE-GGA | optimized geometry Values from VASP.

Results
Raw total energy, eV per cell: -116.38
Crystal system: orthorhombic

Structure (Quantum ESPRESSO input):
```
&SYSTEM
  ibrav = 0, nat = 14, ntyp = 3
/
ATOMIC_SPECIES
Pu 244.00 Pu.upf
O 16.00 O.upf
Sr 87.62 Sr.upf
ATOMIC_POSITIONS angstrom
Pu 0.0000 0.0000 5.2134
O 1.7916 1.7013 9.9593
O 1.7916 1.3733 4.7458
O 0.0000 3.9332 8.4322
Sr 1.7916 0.3936 1.8673
O 1.7916 4.4478 0.4676
O 0.0000 2.2159 1.9947
O 1.7916 4.7759 5.6811
Sr 1.7916 5.7555 8.5596
Pu 0.0000 3.0746 0.0000
Sr 1.7916 2.6810 7.0807
O 0.0000 0.8586 7.2081
Sr 1.7916 3.4682 3.3462
O 0.0000 5.2905 3.2188
CELL_PARAMETERS angstrom
3.5832 0.0000 0.0000
0.0000 6.1491 0.0000
0.0000 0.0000 10.4269
```

=====

Record 7
SrPu2O6 | PBE-GGA | optimized geometry Values from VASP.

Results
Raw total energy, eV per cell: -85.99
Crystal system: trigonal

Structure (Quantum ESPRESSO input):
```
&SYSTEM
  ibrav = 0, nat = 9, ntyp = 3
/
ATOMIC_SPECIES
O 16.00 O.upf
Pu 244.00 Pu.upf
Sr 87.62 Sr.upf
ATOMIC_POSITIONS angstrom
O -1.8712 -1.6852 -0.6871
Pu -1.5995 -3.3867 -1.9610
O -2.2796 -2.8704 2.0961
O 0.2436 -2.7489 -2.8487
O -3.2943 -3.9137 -0.7602
O -3.4771 -0.5265 1.8339
Sr 0.0000 0.0000 0.0000
Pu -3.5660 -2.2122 0.5138
O -0.1010 -4.1716 -0.6457
CELL_PARAMETERS angstrom
-5.3080 1.3216 2.0471
0.5912 -2.2019 -5.3772
-0.4487 -4.7185 1.8829
```

=====

Record 8
SrPuO4 | PBE-GGA | optimized geometry Values from VASP.

Results
Raw total energy, eV per cell: -51.43
Crystal system: tetragonal

Structure (Quantum ESPRESSO input):
```
&SYSTEM
  ibrav = 0, nat = 6, ntyp = 3
/
ATOMIC_SPECIES
O 16.00 O.upf
Pu 244.00 Pu.upf
Sr 87.62 Sr.upf
ATOMIC_POSITIONS angstrom
O 0.0000 1.8757 1.6799
O 0.0000 1.8757 4.1076
O 1.8757 0.0000 4.1076
Pu 1.8757 1.8757 2.8938
Sr 0.0000 0.0000 0.0000
O 1.8757 0.0000 1.6799
CELL_PARAMETERS angstrom
3.7514 0.0000 0.0000
0.0000 3.7514 0.0000
0.0000 0.0000 5.7875
```

=====

Record 9
Sr2Pu2O7 | PBE-GGA | optimized geometry Values from VASP.

Results
Excess energy over the best structure of this formula in the dataset, meV per atom: 0
Crystal system: cubic

Structure (Quantum ESPRESSO input):
```
&SYSTEM
  ibrav = 0, nat = 22, ntyp = 3
/
ATOMIC_SPECIES
Sr 87.62 Sr.upf
Pu 244.00 Pu.upf
O 16.00 O.upf
ATOMIC_POSITIONS angstrom
Sr -8.6512 -8.3220 1.7394
Pu -1.7302 -1.6644 0.3479
O -3.7183 -7.3203 0.4721
O -6.9210 -6.6576 1.3915
O -5.7952 -4.4778 3.7416
Sr -5.0823 -7.0711 2.9190
O -8.0467 -8.8373 -0.9585
O -4.1912 -4.7436 -0.8296
O -10.1236 -5.9949 2.3110
O -3.5458 -1.6930 -0.7805
Pu -5.2992 -2.9152 -0.8317
Pu -4.2625 -3.1959 2.9814
O -5.5392 -2.8986 1.2926
Pu -2.5500 -5.5396 0.2855
O -3.3751 -4.9645 2.1721
O -2.7298 -1.9140 2.2212
O -1.3817 -3.7589 0.0990
Sr -7.8314 -4.4467 1.8018
O -7.0525 -4.1374 -0.8829
Sr -6.1189 -6.7904 -0.8941
O -6.7894 -9.1777 3.6660
O -10.3814 -9.9863 2.0873
CELL_PARAMETERS angstrom
-7.1378 -2.5017 -2.3592
-1.6396 -7.7504 -0.1247
-5.0645 -3.0630 5.2670
```

=====

Record 10
Sr2PuO | PBE-GGA | optimized geometry Values from VASP.

Results
Raw total energy, eV per cell: -26.43
Crystal system: trigonal

Structure (Quantum ESPRESSO input):
```
&SYSTEM
  ibrav = 0, nat = 4, ntyp = 3
/
ATOMIC_SPECIES
Pu 244.00 Pu.upf
O 16.00 O.upf
Sr 87.62 Sr.upf
ATOMIC_POSITIONS angstrom
Pu 0.0000 0.0000 0.0000
O 3.6343 2.0983 5.0686
Sr 1.8172 1.0491 6.5939
Sr 5.4515 3.1474 3.5433
CELL_PARAMETERS angstrom
3.6343 0.0000 0.0000
1.8172 3.1474 0.0000
1.8172 1.0491 10.1372
```

=====

Record 11
Sr3PuO6 | PBE-GGA | optimized geometry Values from VASP.

Results
Raw total energy, eV per cell: -155.76
Crystal system: trigonal

Structure (Quantum ESPRESSO input):
```
&SYSTEM
  ibrav = 0, nat = 20, ntyp = 3
/
ATOMIC_SPECIES
O 16.00 O.upf
Sr 87.62 Sr.upf
Pu 244.00 Pu.upf
ATOMIC_POSITIONS angstrom
O 2.8410 1.4502 3.8284
O 3.7328 2.9227 1.5347
Sr 2.8479 6.5082 5.2700
Sr 6.4449 5.2024 3.1046
O 0.2404 1.8289 6.5894
O 0.2002 6.5061 5.0686
O 1.8232 6.5816 0.4262
O 6.5003 5.0597 0.4537
Sr 5.0613 2.9584 6.6235
O 1.3882 3.7638 2.9560
Sr 1.6794 3.9302 0.4196
Sr 0.2958 1.6862 3.9385
Pu 3.3704 3.4443 3.5216
O 6.5405 0.3825 1.9746
O 3.8997 5.4384 3.2147
Sr 3.8928 0.3804 1.7731
O 5.3525 3.1248 4.0871
Pu 0.0000 0.0000 0.0000
O 3.0079 3.9659 5.5084
O 4.9175 0.3070 6.6170
CELL_PARAMETERS angstrom
7.0744 -0.0134 -0.0137
-0.1669 7.0725 -0.0137
-0.1669 -0.1705 7.0704
```

=====

Record 12
Sr2PuO5 | PBE-GGA | optimized geometry Values from VASP.

Results
Raw total energy, eV per cell: -130.92
Crystal system: monoclinic

Structure (Quantum ESPRESSO input):
```
&SYSTEM
  ibrav = 0, nat = 16, ntyp = 3
/
ATOMIC_SPECIES
Sr 87.62 Sr.upf
O 16.00 O.upf
Pu 244.00 Pu.upf
ATOMIC_POSITIONS angstrom
Sr -0.2194 3.6852 -0.1120
O 0.8062 0.0927 2.0473
O 1.3988 1.7233 4.3100
O -1.4660 4.3094 5.7352
Sr 2.6454 1.9768 1.9681
Sr 3.0842 2.1621 6.0627
O 1.5729 4.4146 6.3238
Sr 0.2194 3.8706 3.9825
Pu 0.0000 0.0000 0.0000
O 1.4660 4.1241 1.6406
O 4.4377 1.6181 3.7214
O -1.5729 4.2293 2.2292
O 4.3308 1.5379 0.2154
O 4.9234 0.2780 6.1418
Pu 0.0000 0.1854 4.0946
O 1.2919 1.4327 -0.3732
CELL_PARAMETERS angstrom
5.7296 0.0000 0.0000
-2.8648 5.4766 -2.2385
0.0000 0.3707 8.1891
```

=====

What did the seventh record say?
SrPu2O6 | PBE-GGA | optimized geometry Values from VASP.

Results
Raw total energy, eV per cell: -85.99
Crystal system: trigonal

Structure (Quantum ESPRESSO input):
```
&SYSTEM
  ibrav = 0, nat = 9, ntyp = 3
/
ATOMIC_SPECIES
O 16.00 O.upf
Pu 244.00 Pu.upf
Sr 87.62 Sr.upf
ATOMIC_POSITIONS angstrom
O -1.8712 -1.6852 -0.6871
Pu -1.5995 -3.3867 -1.9610
O -2.2796 -2.8704 2.0961
O 0.2436 -2.7489 -2.8487
O -3.2943 -3.9137 -0.7602
O -3.4771 -0.5265 1.8339
Sr 0.0000 0.0000 0.0000
Pu -3.5660 -2.2122 0.5138
O -0.1010 -4.1716 -0.6457
CELL_PARAMETERS angstrom
-5.3080 1.3216 2.0471
0.5912 -2.2019 -5.3772
-0.4487 -4.7185 1.8829
```

=====

- Number 12 is which compound?
  Sr2PuO5